Record 1
# NiGeBAu GGA-PBE optimized geometry
# - Polymorph energy (0 for the lowest one): 21 meV/atom
# - E: -4.284 eV/atom
data_NiGeBAu
_cell_length_a 6.001
_cell_length_b 6.001
_cell_length_c 6.001
_cell_angle_alpha 90.00
_cell_angle_beta 90.00
_cell_angle_gamma 90.00
_space_group_name_H-M_alt 'F -4 3 m'
_space_group_IT_number 216
_space_group_name_Hall 'F -4 2 3'
loop_
_atom_site_label
_atom_site_type_symbol
_atom_site_fract_x
_atom_site_fract_y
_atom_site_fract_z
_atom_site_occupancy
Ni1 Ni 0.000 0.000 0.000 1
Ge1 Ge 0.250 0.250 0.250 1
B1 B 0.000 0.000 0.500 1
Au1 Au 0.250 0.250 0.750 1

Record 2
# HfB2Au GGA-PBE optimized geometry
# - E: -5.643 eV/atom
data_HfB2Au
_cell_length_a 6.083
_cell_length_b 6.083
_cell_length_c 6.083
_cell_angle_alpha 90.00
_cell_angle_beta 90.00
_cell_angle_gamma 90.00
_space_group_name_H-M_alt 'F -4 3 m'
_space_group_IT_number 216
_space_group_name_Hall 'F -4 2 3'
loop_
_atom_site_label
_atom_site_type_symbol
_atom_site_fract_x
_atom_site_fract_y
_atom_site_fract_z
_atom_site_occupancy
Hf1 Hf 0.000 0.000 0.000 1
B1 B 0.000 0.000 0.500 1
B2 B 0.250 0.250 0.750 1
Au1 Au 0.250 0.250 0.250 1

Record 3
# HgB2Au GGA-PBE optimized geometry
# - E: -2.403 eV/atom
data_HgB2Au
_cell_length_a 6.288
_cell_length_b 6.288
_cell_length_c 6.288
_cell_angle_alpha 90.00
_cell_angle_beta 90.00
_cell_angle_gamma 90.00
_space_group_name_H-M_alt 'F -4 3 m'
_space_group_IT_number 216
_space_group_name_Hall 'F -4 2 3'
loop_
_atom_site_label
_atom_site_type_symbol
_atom_site_fract_x
_atom_site_fract_y
_atom_site_fract_z
_atom_site_occupancy
Hg1 Hg 0.000 0.000 0.000 1
B1 B 0.000 0.000 0.500 1
B2 B 0.250 0.250 0.250 1
Au1 Au 0.250 0.250 0.750 1

Record 4
# HgBAu2 GGA-PBE optimized geometry
# - E: -2.448 eV/atom
data_HgBAu2
_cell_length_a 6.515
_cell_length_b 6.515
_cell_length_c 6.515
_cell_angle_alpha 90.00
_cell_angle_beta 90.00
_cell_angle_gamma 90.00
_space_group_name_H-M_alt 'F -4 3 m'
_space_group_IT_number 216
_space_group_name_Hall 'F -4 2 3'
loop_
_atom_site_label
_atom_site_type_symbol
_atom_site_fract_x
_atom_site_fract_y
_atom_site_fract_z
_atom_site_occupancy
Hg1 Hg 0.000 0.000 0.000 1
B1 B 0.250 0.250 0.750 1
Au1 Au 0.000 0.000 0.500 1
Au2 Au 0.250 0.250 0.250 1

Record 5
# MgHgBAu GGA-PBE optimized geometry
# - Polymorph energy (0 for the lowest one): 0 meV/atom
# - E: -2.324 eV/atom
data_MgHgBAu
_cell_length_a 6.428
_cell_length_b 6.428
_cell_length_c 6.428
_cell_angle_alpha 90.00
_cell_angle_beta 90.00
_cell_angle_gamma 90.00
_space_group_name_H-M_alt 'F -4 3 m'
_space_group_IT_number 216
_space_group_name_Hall 'F -4 2 3'
loop_
_atom_site_label
_atom_site_type_symbol
_atom_site_fract_x
_atom_site_fract_y
_atom_site_fract_z
_atom_site_occupancy
Mg1 Mg 0.000 0.000 0.000 1
Hg1 Hg 0.250 0.250 0.750 1
B1 B 0.000 0.000 0.500 1
Au1 Au 0.250 0.250 0.250 1

Record 6
# NiHgBAu GGA-PBE optimized geometry
# - Polymorph energy (0 for the lowest one): 102 meV/atom
# - E: -2.981 eV/atom
data_NiHgBAu
_cell_length_a 6.230
_cell_length_b 6.230
_cell_length_c 6.230
_cell_angle_alpha 90.00
_cell_angle_beta 90.00
_cell_angle_gamma 90.00
_space_group_name_H-M_alt 'F -4 3 m'
_space_group_IT_number 216
_space_group_name_Hall 'F -4 2 3'
loop_
_atom_site_label
_atom_site_type_symbol
_atom_site_fract_x
_atom_site_fract_y
_atom_site_fract_z
_atom_site_occupancy
Ni1 Ni 0.000 0.000 0.000 1
Hg1 Hg 0.000 0.000 0.500 1
B1 B 0.250 0.250 0.750 1
Au1 Au 0.250 0.250 0.250 1

Record 7
# NiHgBAu GGA-PBE optimized geometry
# - Polymorph energy (0 for the lowest one): 0 meV/atom
# - E: -3.084 eV/atom
data_NiHgBAu
_cell_length_a 6.155
_cell_length_b 6.155
_cell_length_c 6.155
_cell_angle_alpha 90.00
_cell_angle_beta 90.00
_cell_angle_gamma 90.00
_space_group_name_H-M_alt 'F -4 3 m'
_space_group_IT_number 216
_space_group_name_Hall 'F -4 2 3'
loop_
_atom_site_label
_atom_site_type_symbol
_atom_site_fract_x
_atom_site_fract_y
_atom_site_fract_z
_atom_site_occupancy
Ni1 Ni 0.000 0.000 0.000 1
Hg1 Hg 0.250 0.250 0.250 1
B1 B 0.000 0.000 0.500 1
Au1 Au 0.250 0.250 0.750 1

Record 8
# ZnHgBAu GGA-PBE optimized geometry
# - Polymorph energy (0 for the lowest one): 38 meV/atom
# - E: -1.972 eV/atom
data_ZnHgBAu
_cell_length_a 6.463
_cell_length_b 6.463
_cell_length_c 6.463
_cell_angle_alpha 90.00
_cell_angle_beta 90.00
_cell_angle_gamma 90.00
_space_group_name_H-M_alt 'F -4 3 m'
_space_group_IT_number 216
_space_group_name_Hall 'F -4 2 3'
loop_
_atom_site_label
_atom_site_type_symbol
_atom_site_fract_x
_atom_site_fract_y
_atom_site_fract_z
_atom_site_occupancy
Zn1 Zn 0.000 0.000 0.000 1
Hg1 Hg 0.000 0.000 0.500 1
B1 B 0.250 0.250 0.750 1
Au1 Au 0.250 0.250 0.250 1

Record 9
# ZnHgBAu GGA-PBE optimized geometry
# - Polymorph energy (0 for the lowest one): 0 meV/atom
# - E: -2.010 eV/atom
data_ZnHgBAu
_cell_length_a 6.374
_cell_length_b 6.374
_cell_length_c 6.374
_cell_angle_alpha 90.00
_cell_angle_beta 90.00
_cell_angle_gamma 90.00
_space_group_name_H-M_alt 'F -4 3 m'
_space_group_IT_number 216
_space_group_name_Hall 'F -4 2 3'
loop_
_atom_site_label
_atom_site_type_symbol
_atom_site_fract_x
_atom_site_fract_y
_atom_site_fract_z
_atom_site_occupancy
Zn1 Zn 0.000 0.000 0.000 1
Hg1 Hg 0.250 0.250 0.750 1
B1 B 0.000 0.000 0.500 1
Au1 Au 0.250 0.250 0.250 1

Record 10
# InB2Au GGA-PBE optimized geometry
# - E: -3.244 eV/atom
data_InB2Au
_cell_length_a 6.242
_cell_length_b 6.242
_cell_length_c 6.242
_cell_angle_alpha 90.00
_cell_angle_beta 90.00
_cell_angle_gamma 90.00
_space_group_name_H-M_alt 'F -4 3 m'
_space_group_IT_number 216
_space_group_name_Hall 'F -4 2 3'
loop_
_atom_site_label
_atom_site_type_symbol
_atom_site_fract_x
_atom_site_fract_y
_atom_site_fract_z
_atom_site_occupancy
In1 In 0.000 0.000 0.000 1
B1 B 0.000 0.000 0.500 1
B2 B 0.250 0.250 0.750 1
Au1 Au 0.250 0.250 0.250 1

Record 11
# NaInBAu GGA-PBE optimized geometry
# - Polymorph energy (0 for the lowest one): 86 meV/atom
# - E: -2.806 eV/atom
data_NaInBAu
_cell_length_a 6.510
_cell_length_b 6.510
_cell_length_c 6.510
_cell_angle_alpha 90.00
_cell_angle_beta 90.00
_cell_angle_gamma 90.00
_space_group_name_H-M_alt 'F -4 3 m'
_space_group_IT_number 216
_space_group_name_Hall 'F -4 2 3'
loop_
_atom_site_label
_atom_site_type_symbol
_atom_site_fract_x
_atom_site_fract_y
_atom_site_fract_z
_atom_site_occupancy
Na1 Na 0.000 0.000 0.000 1
In1 In 0.250 0.250 0.250 1
B1 B 0.000 0.000 0.500 1
Au1 Au 0.250 0.250 0.750 1

Record 12
# NaInBAu GGA-PBE optimized geometry
# - Polymorph energy (0 for the lowest one): 58 meV/atom
# - E: -2.834 eV/atom
data_NaInBAu
_cell_length_a 6.538
_cell_length_b 6.538
_cell_length_c 6.538
_cell_angle_alpha 90.00
_cell_angle_beta 90.00
_cell_angle_gamma 90.00
_space_group_name_H-M_alt 'F -4 3 m'
_space_group_IT_number 216
_space_group_name_Hall 'F -4 2 3'
loop_
_atom_site_label
_atom_site_type_symbol
_atom_site_fract_x
_atom_site_fract_y
_atom_site_fract_z
_atom_site_occupancy
Na1 Na 0.000 0.000 0.000 1
In1 In 0.250 0.250 0.250 1
B1 B 0.250 0.250 0.750 1
Au1 Au 0.000 0.000 0.500 1

Record 13
# NaInBAu GGA-PBE optimized geometry
# - Polymorph energy (0 for the lowest one): 0 meV/atom
# - E: -2.892 eV/atom
data_NaInBAu
_cell_length_a 6.608
_cell_length_b 6.608
_cell_length_c 6.608
_cell_angle_alpha 90.00
_cell_angle_beta 90.00
_cell_angle_gamma 90.00
_space_group_name_H-M_alt 'F -4 3 m'
_space_group_IT_number 216
_space_group_name_Hall 'F -4 2 3'
loop_
_atom_site_label
_atom_site_type_symbol
_atom_site_fract_x
_atom_site_fract_y
_atom_site_fract_z
_atom_site_occupancy
Na1 Na 0.000 0.000 0.000 1
In1 In 0.000 0.000 0.500 1
B1 B 0.250 0.250 0.250 1
Au1 Au 0.250 0.250 0.750 1

Record 14
# B2IrAu GGA-PBE optimized geometry
# - E: -4.790 eV/atom
data_B2IrAu
_cell_length_a 5.885
_cell_length_b 5.885
_cell_length_c 5.885
_cell_angle_alpha 90.00
_cell_angle_beta 90.00
_cell_angle_gamma 90.00
_space_group_name_H-M_alt 'F -4 3 m'
_space_group_IT_number 216
_space_group_name_Hall 'F -4 2 3'
loop_
_atom_site_label
_atom_site_type_symbol
_atom_site_fract_x
_atom_site_fract_y
_atom_site_fract_z
_atom_site_occupancy
B1 B 0.000 0.000 0.000 1
B2 B 0.250 0.250 0.250 1
Ir1 Ir 0.250 0.250 0.750 1
Au1 Au 0.000 0.000 0.500 1

Record 15
# B2IrAu2 GGA-PBE optimized geometry
# - E: -4.973 eV/atom
data_B2IrAu2
_cell_length_a 3.924
_cell_length_b 3.924
_cell_length_c 8.486
_cell_angle_alpha 90.00
_cell_angle_beta 90.00
_cell_angle_gamma 90.00
_space_group_name_H-M_alt 'I 4/m m m'
_space_group_IT_number 139
_space_group_name_Hall '-I 4 2'
loop_
_atom_site_label
_atom_site_type_symbol
_atom_site_fract_x
_atom_site_fract_y
_atom_site_fract_z
_atom_site_occupancy
B1 B 0.000 0.000 0.095 1
Ir1 Ir 0.000 0.000 0.500 1
Au1 Au 0.000 0.500 0.250 1

Record 16
# BIr2Au GGA-PBE optimized geometry
# - E: -5.855 eV/atom
data_BIr2Au
_cell_length_a 6.096
_cell_length_b 6.096
_cell_length_c 6.096
_cell_angle_alpha 90.00
_cell_angle_beta 90.00
_cell_angle_gamma 90.00
_space_group_name_H-M_alt 'F -4 3 m'
_space_group_IT_number 216
_space_group_name_Hall 'F -4 2 3'
loop_
_atom_site_label
_atom_site_type_symbol
_atom_site_fract_x
_atom_site_fract_y
_atom_site_fract_z
_atom_site_occupancy
B1 B 0.000 0.000 0.000 1
Ir1 Ir 0.000 0.000 0.500 1
Ir2 Ir 0.250 0.250 0.750 1
Au1 Au 0.250 0.250 0.250 1

Record 17
# TaBIrAu GGA-PBE optimized geometry
# - Polymorph energy (0 for the lowest one): 0 meV/atom
# - E: -7.201 eV/atom
data_TaBIrAu
_cell_length_a 6.138
_cell_length_b 6.138
_cell_length_c 6.138
_cell_angle_alpha 90.00
_cell_angle_beta 90.00
_cell_angle_gamma 90.00
_space_group_name_H-M_alt 'F -4 3 m'
_space_group_IT_number 216
_space_group_name_Hall 'F -4 2 3'
loop_
_atom_site_label
_atom_site_type_symbol
_atom_site_fract_x
_atom_site_fract_y
_atom_site_fract_z
_atom_site_occupancy
Ta1 Ta 0.000 0.000 0.000 1
B1 B 0.250 0.250 0.250 1
Ir1 Ir 0.000 0.000 0.500 1
Au1 Au 0.250 0.250 0.750 1

Record 18
# TaBIrAu GGA-PBE optimized geometry
# - Polymorph energy (0 for the lowest one): 170 meV/atom
# - E: -7.031 eV/atom
data_TaBIrAu
_cell_length_a 6.217
_cell_length_b 6.217
_cell_length_c 6.217
_cell_angle_alpha 90.00
_cell_angle_beta 90.00
_cell_angle_gamma 90.00
_space_group_name_H-M_alt 'F -4 3 m'
_space_group_IT_number 216
_space_group_name_Hall 'F -4 2 3'
loop_
_atom_site_label
_atom_site_type_symbol
_atom_site_fract_x
_atom_site_fract_y
_atom_site_fract_z
_atom_site_occupancy
Ta1 Ta 0.000 0.000 0.000 1
B1 B 0.000 0.000 0.500 1
Ir1 Ir 0.250 0.250 0.250 1
Au1 Au 0.250 0.250 0.750 1

Record 19
# TaBIrAu GGA-PBE optimized geometry
# - Polymorph energy (0 for the lowest one): 61 meV/atom
# - E: -7.140 eV/atom
data_TaBIrAu
_cell_length_a 6.190
_cell_length_b 6.190
_cell_length_c 6.190
_cell_angle_alpha 90.00
_cell_angle_beta 90.00
_cell_angle_gamma 90.00
_space_group_name_H-M_alt 'F -4 3 m'
_space_group_IT_number 216
_space_group_name_Hall 'F -4 2 3'
loop_
_atom_site_label
_atom_site_type_symbol
_atom_site_fract_x
_atom_site_fract_y
_atom_site_fract_z
_atom_site_occupancy
Ta1 Ta 0.000 0.000 0.000 1
B1 B 0.250 0.250 0.750 1
Ir1 Ir 0.250 0.250 0.250 1
Au1 Au 0.000 0.000 0.500 1

Record 20
# KB4Au GGA-PBE optimized geometry
# - Polymorph energy (0 for the lowest one): 14 meV/atom
# - E: -4.652 eV/atom
data_KB4Au
_cell_length_a 3.0987
_cell_length_b 3.0987
_cell_length_c 8.6120
_cell_angle_alpha 90.00
_cell_angle_beta 90.00
_cell_angle_gamma 120.00
_space_group_name_H-M_alt 'P 6/m m m'
_space_group_IT_number 191
_space_group_name_Hall '-P 6 2'
loop_
_atom_site_label
_atom_site_type_symbol
_atom_site_fract_x
_atom_site_fract_y
_atom_site_fract_z
_atom_site_occupancy
K1 K 0.0000 0.0000 0.0000 1
B1 B 0.3333 0.6667 0.2821 1
Au1 Au 0.0000 0.0000 0.5000 1